5
Lattice="-2.020 -3.115 -3.228 0.645 -3.705 3.171 -3.033 0.601 1.318" Properties=species:S:1:pos:R:3 comment="Y2BeIrN (PBE, optimized geometry)" total_energy_ev_per_atom=-7.640 e_form_raw_kj_per_mol_fu=-421 crystal_system=tetragonal vol_a3_per_cell=81 pbc="T T T"
Y 0.322 -1.852 1.586
Ir -2.204 -3.109 0.631
N 0.000 0.000 0.000
Be -1.517 0.300 0.659
Y -1.010 -1.557 -1.614


20
Lattice="-5.838 -6.325 -0.416 2.430 -2.520 7.875 -5.829 5.402 3.334" Properties=species:S:1:pos:R:3 comment="K3TcCl6 (PBE, optimized geometry)" total_energy_ev_per_atom=-3.888 e_form_raw_kj_per_mol_fu=-1364 crystal_system=trigonal polymorph_energy_mev_per_atom=4 vol_a3_per_cell=640 pbc="T T T"
K -4.597 -2.440 1.179
Cl -3.479 -3.334 3.974
Cl -2.384 1.270 9.694
K -3.145 1.977 3.831
Tc -4.618 -1.722 5.396
Tc 0.000 0.000 0.000
K -0.505 -2.612 4.626
Cl -6.687 -2.969 5.110
K -4.640 -1.004 9.614
Cl -9.527 0.190 3.236
Cl -6.853 -4.713 1.098
Cl -5.758 -0.110 6.818
K -8.732 -0.832 6.166
Cl 0.290 -3.634 7.556
Cl -5.289 3.929 5.194
Cl -2.550 -0.474 5.682
Cl -4.046 -3.069 7.339
K -6.092 -5.421 6.961
Cl -3.948 -7.372 5.598
Cl -5.191 -0.375 3.453


5
Lattice="-3.802 2.662 -0.945 -1.881 -1.161 4.297 2.140 3.748 1.950" Properties=species:S:1:pos:R:3 comment="HfTc2MoI (PBE, optimized geometry)" total_energy_ev_per_atom=-6.940 e_form_raw_kj_per_mol_fu=807 crystal_system=tetragonal vol_a3_per_cell=108 pbc="T T T"
Tc -1.901 1.331 -0.473
Mo -0.941 -0.580 2.148
Hf -1.771 2.625 2.650
I 0.000 0.000 0.000
Tc 1.070 1.874 0.975


10
Lattice="4.295 0.000 -1.209 -0.257 5.814 -0.913 -0.215 0.664 7.470" Properties=species:S:1:pos:R:3 comment="Li7Sn3 (PBE, optimized geometry)" total_energy_ev_per_atom=-2.874 crystal_system=monoclinic polymorph_energy_mev_per_atom=59 vol_a3_per_cell=188 pbc="T T T"
Li 1.355 4.441 4.815
Sn 3.242 2.514 3.282
Li 0.735 1.046 2.611
Li 1.524 1.467 5.416
Sn 0.582 3.963 2.067
Li 2.468 2.037 0.533
Li 3.088 5.432 2.738
Li 2.299 5.010 -0.067
Li -0.128 2.907 -0.456
Sn 0.000 0.000 0.000


11
Lattice="1.375 -2.337 -5.693 2.329 -4.261 8.263 -7.717 -2.489 5.109" Properties=species:S:1:pos:R:3 comment="La5Tb6 (PBE, optimized geometry)" total_energy_ev_per_atom=-4.603 crystal_system=monoclinic polymorph_energy_mev_per_atom=22 vol_a3_per_cell=395 pbc="T T T"
Tb -3.680 -5.666 8.538
Tb -0.334 -3.420 -0.859
La -4.414 -3.071 6.146
Tb -4.657 -6.495 5.157
La -5.401 -3.944 2.774
La -0.975 -3.678 7.225
La -2.007 -4.543 3.839
Tb 0.644 -2.592 2.522
Tb -2.707 -2.001 1.470
La 1.388 -5.142 4.905
Tb -1.307 -7.086 6.208


5
Lattice="4.453 0.000 0.757 2.162 3.893 0.757 0.373 0.219 11.285" Properties=species:S:1:pos:R:3 comment="Sb2Te2I (PBE, optimized geometry)" total_energy_ev_per_atom=-3.259 e_form_raw_kj_per_mol_fu=-21 crystal_system=trigonal polymorph_energy_mev_per_atom=0 vol_a3_per_cell=194 pbc="T T T"
Sb 4.037 2.376 3.204
I 0.000 0.000 0.000
Te 1.591 0.936 4.120
Te 5.398 3.176 8.678
Sb 2.951 1.737 9.595


5
Lattice="-1.039 -4.336 3.575 4.359 1.015 2.498 -2.822 3.546 3.482" Properties=species:S:1:pos:R:3 comment="LaZn2NiPd (PBE, optimized geometry)" total_energy_ev_per_atom=-2.423 crystal_system=tetragonal vol_a3_per_cell=167 pbc="T T T"
Zn -1.411 1.773 1.741
Ni 0.249 0.113 4.777
Pd 2.179 0.508 1.249
Zn -0.519 -2.168 1.787
La 0.000 0.000 0.000


4
Lattice="4.948 0.000 0.000 2.474 4.285 0.000 2.474 1.428 4.040" Properties=species:S:1:pos:R:3 comment="LaLuRuPt (PBE, optimized geometry)" total_energy_ev_per_atom=-6.870 crystal_system=cubic vol_a3_per_cell=86 pbc="T T T"
La 2.474 1.428 1.010
Lu 7.421 4.285 3.030
Pt 0.000 0.000 0.000
Ru 4.948 2.857 2.020


Q: Number 5 is which compound?
A: La5Tb6